Compound: Pm5PrTm2Th
Source: Alexandria
Functional: PBE-GGA
Structure: optimized geometry

The structure in POSCAR format:
```
Pm5PrTm2Th
1.0
2.8493 -10.2071 0.0000
2.8493 10.2071 0.0000
0.0000 0.0000 10.5335
Pm Pr Tm Th
10 2 4 2
direct
0.0154 0.9846 0.5000
0.2767 0.7233 0.2074
0.2934 0.7066 0.8174
0.3875 0.6125 0.4949
0.4764 0.5236 0.7822
0.5236 0.4764 0.2822
0.6125 0.3875 0.9949
0.7066 0.2934 0.3174
0.7233 0.2767 0.7074
0.9846 0.0154 0.0000
0.4116 0.5884 0.0771
0.5884 0.4116 0.5771
0.1133 0.8867 0.7877
0.1159 0.8841 0.2033
0.8841 0.1159 0.7033
0.8867 0.1133 0.2877
0.1986 0.8014 0.5083
0.8014 0.1986 0.0083
```

Summary:
Energy of formation from the pure elements = 164.5 meV per atom
Space-group type = No. 36
Crystal system = orthorhombic

Compound: Pm3PrTm6Th2
Source: Alexandria
Functional: PBE-GGA
Structure: optimized geometry

The structure in POSCAR format:
```
Pm3PrTm6Th2
1.0
3.0986 -5.3672 0.0000
3.0986 5.3672 0.0000
-2.0766 0.0000 11.4772
Pm Pr Tm Th
3 1 6 2
direct
0.0000 0.0000 0.0000
0.3339 0.6661 0.0000
0.6661 0.3339 0.0000
0.5000 0.5000 0.5000
0.0792 0.4176 0.2534
0.2440 0.2440 0.7468
0.4176 0.0792 0.2534
0.5824 0.9208 0.7466
0.7560 0.7560 0.2532
0.9208 0.5824 0.7466
0.1666 0.8334 0.5000
0.8334 0.1666 0.5000
```

Summary:
Energy of formation from the pure elements = 28.5 meV per atom
Space-group type = No. 12
Crystal system = monoclinic

Compound: Pm6PrTmTh2
Source: Alexandria
Functional: PBE-GGA
Structure: optimized geometry

The structure in POSCAR format:
```
Pm6PrTmTh2
1.0
4.5517 -7.5581 0.0000
4.5517 7.5581 0.0000
-1.9758 0.0000 9.9493
Pm Pr Tm Th
12 2 2 4
direct
0.0137 0.5637 0.1786
0.1092 0.7399 0.5491
0.2601 0.8908 0.9509
0.3071 0.5111 0.3846
0.4363 0.9863 0.3214
0.4889 0.6929 0.1154
0.5111 0.3071 0.8846
0.5637 0.0137 0.6786
0.6929 0.4889 0.6154
0.7399 0.1092 0.0491
0.8908 0.2601 0.4509
0.9863 0.4363 0.8214
0.0103 0.9897 0.2500
0.9897 0.0103 0.7500
0.4073 0.5927 0.7500
0.5927 0.4073 0.2500
0.1847 0.2801 0.0417
0.2801 0.1847 0.5417
0.7199 0.8153 0.4583
0.8153 0.7199 0.9583
```

Summary:
Energy of formation from the pure elements = 155.7 meV per atom
Space-group type = No. 15
Crystal system = monoclinic

Compound: Pm6PrYTh2
Source: Alexandria
Functional: PBE-GGA
Structure: optimized geometry

The structure in POSCAR format:
```
Pm6PrYTh2
1.0
4.5357 -7.6028 0.0000
4.5357 7.6028 0.0000
-1.9939 0.0000 9.9920
Pm Pr Y Th
12 2 2 4
direct
0.0172 0.5639 0.1768
0.1088 0.7408 0.5485
0.2592 0.8912 0.9515
0.3055 0.5105 0.3834
0.4361 0.9828 0.3232
0.4895 0.6945 0.1166
0.5105 0.3055 0.8834
0.5639 0.0172 0.6768
0.6945 0.4895 0.6166
0.7408 0.1088 0.0485
0.8912 0.2592 0.4515
0.9828 0.4361 0.8232
0.0109 0.9891 0.2500
0.9891 0.0109 0.7500
0.4065 0.5935 0.7500
0.5935 0.4065 0.2500
0.1840 0.2796 0.0404
0.2796 0.1840 0.5404
0.7204 0.8160 0.4596
0.8160 0.7204 0.9596
```

Summary:
Energy of formation from the pure elements = 151.9 meV per atom
Space-group type = No. 15
Crystal system = monoclinic

Compound: PmPrY5Th2
Source: Alexandria
Functional: PBE-GGA
Structure: optimized geometry

The structure in POSCAR format:
```
PmPrY5Th2
1.0
-4.4508 4.4508 7.7172
4.4508 -4.4508 7.7172
4.4508 4.4508 -7.7172
Pm Pr Y Th
2 2 10 4
direct
0.2500 0.2500 0.0000
0.7500 0.7500 0.0000
0.2500 0.7500 0.5000
0.7500 0.2500 0.5000
0.0000 0.0000 0.0000
0.0702 0.5702 0.9135
0.1567 0.0702 0.5000
0.3433 0.8433 0.9135
0.4298 0.3433 0.5000
0.5000 0.5000 0.0000
0.5702 0.6567 0.5000
0.6567 0.1567 0.0865
0.8433 0.9298 0.5000
0.9298 0.4298 0.0865
0.1181 0.3819 0.5000
0.3819 0.8819 0.2638
0.6181 0.1181 0.7362
0.8819 0.6181 0.5000
```

Summary:
Energy of formation from the pure elements = 309.3 meV per atom
Space-group type = No. 140
Crystal system = tetragonal

Compound: Pm2Pr5YTh
Source: Alexandria
Functional: PBE-GGA
Structure: optimized geometry

The structure in POSCAR format:
```
Pm2Pr5YTh
1.0
2.7507 -11.0750 0.0000
2.7507 11.0750 0.0000
0.0000 0.0000 10.6316
Pm Pr Y Th
4 10 2 2
direct
0.1130 0.8870 0.5036
0.1130 0.8870 0.9964
0.8870 0.1130 0.0036
0.8870 0.1130 0.4964
0.0020 0.9980 0.2500
0.2768 0.7232 0.0580
0.2768 0.7232 0.4420
0.3725 0.6275 0.7500
0.5000 0.5000 0.0000
0.5000 0.5000 0.5000
0.6275 0.3725 0.2500
0.7232 0.2768 0.5580
0.7232 0.2768 0.9420
0.9980 0.0020 0.7500
0.3976 0.6024 0.2500
0.6024 0.3976 0.7500
0.2118 0.7882 0.7500
0.7882 0.2118 0.2500
```

Summary:
Energy of formation from the pure elements = 135.3 meV per atom
Space-group type = No. 63
Crystal system = orthorhombic

Compound: PmPr2YTh
Source: Alexandria
Functional: PBE-GGA
Structure: optimized geometry

The structure in POSCAR format:
```
PmPr2YTh
1.0
6.4287 0.0000 0.0000
0.0000 8.5941 0.0000
-1.5821 0.0000 6.4327
Pm Pr Y Th
2 4 2 2
direct
0.0000 0.0922 0.2500
0.0000 0.9078 0.7500
0.2166 0.3264 0.6598
0.2166 0.6736 0.1598
0.7834 0.3264 0.8402
0.7834 0.6736 0.3402
0.5000 0.3374 0.2500
0.5000 0.6626 0.7500
0.5000 0.0000 0.0000
0.5000 0.0000 0.5000
```

Summary:
Energy of formation from the pure elements = 237.6 meV per atom
Space-group type = No. 13
Crystal system = monoclinic

Compound: Pm2PrY5Th
Source: Alexandria
Functional: PBE-GGA
Structure: optimized geometry

The structure in POSCAR format:
```
Pm2PrY5Th
1.0
-4.3847 4.3847 7.7650
4.3847 -4.3847 7.7650
4.3847 4.3847 -7.7650
Pm Pr Y Th
4 2 10 2
direct
0.1158 0.6158 0.7315
0.3842 0.1158 0.5000
0.6158 0.8842 0.5000
0.8842 0.3842 0.2685
0.2500 0.7500 0.5000
0.7500 0.2500 0.5000
0.0000 0.0000 0.0000
0.0732 0.1513 0.5000
0.1513 0.6513 0.0781
0.3487 0.4268 0.5000
0.4268 0.9268 0.0781
0.5000 0.5000 0.0000
0.5732 0.0732 0.9219
0.6513 0.5732 0.5000
0.8487 0.3487 0.9219
0.9268 0.8487 0.5000
0.2500 0.2500 0.0000
0.7500 0.7500 0.0000
```

Summary:
Energy of formation from the pure elements = 276.4 meV per atom
Space-group type = No. 140
Crystal system = tetragonal

Compound: PmPrYTh
Source: Alexandria
Functional: PBE-GGA
Structure: optimized geometry

The structure in POSCAR format:
```
PmPrYTh
1.0
3.6199 0.0000 0.0000
0.0000 3.6199 0.0000
0.0000 0.0000 10.3196
Pm Pr Y Th
1 1 1 1
direct
0.0000 0.0000 0.0000
0.5000 0.5000 0.2653
0.0000 0.0000 0.5241
0.5000 0.5000 0.7605
```

Summary:
Energy of formation from the pure elements = 25.6 meV per atom
Polymorph energy (0 for the lowest one) = 0 meV/atom
Space-group type = No. 99
Crystal system = tetragonal

Compound: Pm5PrY2Th
Source: Alexandria
Functional: PBE-GGA
Structure: optimized geometry

The structure in POSCAR format:
```
Pm5PrY2Th
1.0
2.8675 -10.2108 0.0000
2.8675 10.2108 0.0000
0.0000 0.0000 10.5958
Pm Pr Y Th
10 2 4 2
direct
0.0169 0.9831 0.5000
0.2777 0.7223 0.7898
0.2936 0.7064 0.1802
0.3900 0.6100 0.5034
0.4770 0.5230 0.2168
0.5230 0.4770 0.7168
0.6100 0.3900 0.0034
0.7064 0.2936 0.6802
0.7223 0.2777 0.2898
0.9831 0.0169 0.0000
0.4115 0.5885 0.9240
0.5885 0.4115 0.4240
0.1133 0.8867 0.2095
0.1164 0.8836 0.7975
0.8836 0.1164 0.2975
0.8867 0.1133 0.7095
0.2011 0.7989 0.4887
0.7989 0.2011 0.9887
```

Summary:
Energy of formation from the pure elements = 158.1 meV per atom
Space-group type = No. 36
Crystal system = orthorhombic

Compound: Pm2Pr2Y4Th
Source: Alexandria
Functional: PBE-GGA
Structure: optimized geometry

The structure in POSCAR format:
```
Pm2Pr2Y4Th
1.0
9.5080 -1.8259 0.0000
9.5080 1.8259 0.0000
-4.2461 0.0000 8.7194
Pm Pr Y Th
2 2 4 1
direct
0.1474 0.1474 0.1639
0.8526 0.8526 0.8361
0.3370 0.3370 0.4960
0.6630 0.6630 0.5040
0.1834 0.1834 0.8347
0.4813 0.4813 0.1724
0.5187 0.5187 0.8276
0.8166 0.8166 0.1653
0.0000 0.0000 0.5000
```

Summary:
Energy of formation from the pure elements = 3.3 meV per atom
Space-group type = No. 12
Crystal system = monoclinic

Compound: PmPrYTh
Source: Alexandria
Functional: PBE-GGA
Structure: optimized geometry

The structure in POSCAR format:
```
PmPrYTh
1.0
0.0000 4.0740 4.0740
4.0740 0.0000 4.0740
4.0740 4.0740 0.0000
Pm Pr Y Th
1 1 1 1
direct
0.0000 0.0000 0.0000
0.7500 0.7500 0.7500
0.5000 0.5000 0.5000
0.2500 0.2500 0.2500
```

Summary:
Energy of formation from the pure elements = 161.0 meV per atom
Polymorph energy (0 for the lowest one) = 135 meV/atom
Space-group type = No. 216
Crystal system = cubic

Compound: Pm3PrYTh
Source: Alexandria
Functional: PBE-GGA
Structure: optimized geometry

The structure in POSCAR format:
```
Pm3PrYTh
1.0
8.1436 0.0000 0.0000
0.0000 5.1425 0.0000
-3.2785 0.0000 9.7583
Pm Pr Y Th
6 2 2 2
direct
0.1708 0.2500 0.0448
0.1789 0.2500 0.5437
0.1790 0.7500 0.2956
0.8210 0.2500 0.7044
0.8211 0.7500 0.4563
0.8292 0.7500 0.9552
0.1691 0.7500 0.7912
0.8309 0.2500 0.2088
0.5003 0.2500 0.8713
0.4997 0.7500 0.1287
0.4990 0.2500 0.3790
0.5010 0.7500 0.6210
```

Summary:
Energy of formation from the pure elements = 30.5 meV per atom
Space-group type = No. 11
Crystal system = monoclinic

Compound: PmPrY3Th
Source: Alexandria
Functional: PBE-GGA
Structure: optimized geometry

The structure in POSCAR format:
```
PmPrY3Th
1.0
10.7925 0.0000 0.0000
0.0000 3.6121 0.0000
-3.5501 0.0000 10.2469
Pm Pr Y Th
2 2 6 2
direct
0.1294 0.2500 0.1315
0.8706 0.7500 0.8685
0.2091 0.7500 0.8736
0.7909 0.2500 0.1264
0.0437 0.7500 0.3762
0.2947 0.2500 0.6187
0.4591 0.2500 0.1308
0.5409 0.7500 0.8692
0.7053 0.7500 0.3813
0.9563 0.2500 0.6238
0.3785 0.7500 0.3772
0.6215 0.2500 0.6228
```

Summary:
Energy of formation from the pure elements = 23.1 meV per atom
Space-group type = No. 11
Crystal system = monoclinic

Compound: Pm3Pr2Y6Th
Source: Alexandria
Functional: PBE-GGA
Structure: optimized geometry

The structure in POSCAR format:
```
Pm3Pr2Y6Th
1.0
3.1433 -5.4417 0.0000
3.1433 5.4417 0.0000
-2.0949 0.0000 11.6848
Pm Pr Y Th
3 2 6 1
direct
0.0000 0.0000 0.0000
0.3329 0.6671 0.0000
0.6671 0.3329 0.0000
0.1666 0.8334 0.5000
0.8334 0.1666 0.5000
0.0873 0.4167 0.2510
0.2541 0.2541 0.7490
0.4167 0.0873 0.2510
0.5833 0.9127 0.7490
0.7459 0.7459 0.2510
0.9127 0.5833 0.7490
0.5000 0.5000 0.5000
```

Summary:
Energy of formation from the pure elements = 22.9 meV per atom
Space-group type = No. 12
Crystal system = monoclinic

Compound: PmPr5Y2Th
Source: Alexandria
Functional: PBE-GGA
Structure: optimized geometry

The structure in POSCAR format:
```
PmPr5Y2Th
1.0
2.8804 -10.3551 0.0000
2.8804 10.3551 0.0000
0.0000 0.0000 10.6740
Pm Pr Y Th
2 10 4 2
direct
0.0920 0.9080 0.5000
0.9080 0.0920 0.0000
0.0210 0.9790 0.7915
0.1119 0.8881 0.0740
0.2080 0.7920 0.7494
0.2224 0.7776 0.3598
0.4840 0.5160 0.0688
0.5160 0.4840 0.5688
0.7776 0.2224 0.8598
0.7920 0.2080 0.2494
0.8881 0.1119 0.5740
0.9790 0.0210 0.2915
0.3832 0.6168 0.3646
0.3872 0.6128 0.7835
0.6128 0.3872 0.2835
0.6168 0.3832 0.8646
0.2999 0.7001 0.0585
0.7001 0.2999 0.5585
```

Summary:
Energy of formation from the pure elements = 154.2 meV per atom
Space-group type = No. 36
Crystal system = orthorhombic

Compound: PmPrYTh2
Source: Alexandria
Functional: PBE-GGA
Structure: optimized geometry

The structure in POSCAR format:
```
PmPrYTh2
1.0
3.3641 -7.9294 0.0000
3.3641 7.9294 0.0000
0.0000 0.0000 6.7397
Pm Pr Y Th
2 2 2 4
direct
0.1505 0.8495 0.7500
0.8495 0.1505 0.2500
0.2562 0.7438 0.2500
0.7438 0.2562 0.7500
0.3484 0.6516 0.7500
0.6516 0.3484 0.2500
0.2517 0.2517 0.0000
0.2517 0.2517 0.5000
0.7483 0.7483 0.0000
0.7483 0.7483 0.5000
```

Summary:
Energy of formation from the pure elements = 373.2 meV per atom
Space-group type = No. 63
Crystal system = orthorhombic

Compound: Pm5Pr2YTh
Source: Alexandria
Functional: PBE-GGA
Structure: optimized geometry

The structure in POSCAR format:
```
Pm5Pr2YTh
1.0
2.8674 -10.3567 0.0000
2.8674 10.3567 0.0000
0.0000 0.0000 10.6205
Pm Pr Y Th
10 4 2 2
direct
0.0148 0.9852 0.5000
0.2747 0.7253 0.7967
0.2946 0.7054 0.1870
0.3858 0.6142 0.5064
0.4820 0.5180 0.2258
0.5180 0.4820 0.7258
0.6142 0.3858 0.0064
0.7054 0.2946 0.6870
0.7253 0.2747 0.2967
0.9852 0.0148 0.0000
0.1153 0.8847 0.7962
0.1156 0.8844 0.2133
0.8844 0.1156 0.7133
0.8847 0.1153 0.2962
0.4050 0.5950 0.9410
0.5950 0.4050 0.4410
0.1993 0.8007 0.4941
0.8007 0.1993 0.9941
```

Summary:
Energy of formation from the pure elements = 150.1 meV per atom
Space-group type = No. 36
Crystal system = orthorhombic

Compound: Pm6PrY2Th
Source: Alexandria
Functional: PBE-GGA
Structure: optimized geometry

The structure in POSCAR format:
```
Pm6PrY2Th
1.0
4.7776 -7.5849 0.0000
4.7776 7.5849 0.0000
-0.7959 0.0000 9.4892
Pm Pr Y Th
12 2 4 2
direct
0.0073 0.5664 0.1909
0.1159 0.7622 0.5621
0.2378 0.8841 0.9379
0.2938 0.5196 0.3867
0.4336 0.9927 0.3091
0.4804 0.7062 0.1133
0.5196 0.2938 0.8867
0.5664 0.0073 0.6909
0.7062 0.4804 0.6133
0.7622 0.1159 0.0621
0.8841 0.2378 0.4379
0.9927 0.4336 0.8091
0.0348 0.9652 0.2500
0.9652 0.0348 0.7500
0.2010 0.3005 0.0536
0.3005 0.2010 0.5536
0.6995 0.7990 0.4464
0.7990 0.6995 0.9464
0.4106 0.5894 0.7500
0.5894 0.4106 0.2500
```

Summary:
Energy of formation from the pure elements = 142.8 meV per atom
Space-group type = No. 15
Crystal system = monoclinic

Number 1: raw total energy -86.83 eV/cell. Number 2: raw total energy -60.36 eV/cell. Number 3: raw total energy -102.08 eV/cell. Number 4: raw total energy -106.14 eV/cell. Number 5: raw total energy -107.81 eV/cell. Number 6: raw total energy -92.13 eV/cell. Number 7: raw total energy -54.01 eV/cell. Number 8: raw total energy -103.07 eV/cell. Number 9: raw total energy -23.31 eV/cell. Number 10: raw total energy -94.92 eV/cell. Number 11: raw total energy -52.31 eV/cell. Number 12: raw total energy -22.77 eV/cell. Number 13: raw total energy -65.46 eV/cell. Number 14: raw total energy -72.41 eV/cell. Number 15: raw total energy -69.74 eV/cell. Number 16: raw total energy -95.22 eV/cell. Number 17: raw total energy -57.94 eV/cell. Number 18: raw total energy -91.69 eV/cell. Number 19: raw total energy -104.41 eV/cell.